LiZn2Ge2: relaxed, PBE.

Output
- Symmetry: P4/mbm (127)
- ΔE_f: 65 meV per atom
- Raw total energy: -2.6744 eV/atom
- Energy relative to the lowest polymorph listed for this composition: 138 meV/atom

abc: 7.4822 7.4822 3.2198
angles: 90.00 90.00 90.00
With the nearest neighbours (Å) after each atom.
Positions (direct):
Zn  0.8644  0.3644  0.5000  6 Ge 2.66-2.77, 1 Zn 2.87
Zn  0.3644  0.1356  0.5000  6 Ge 2.66-2.77, 1 Zn 2.87
Zn  0.6356  0.8644  0.5000  6 Ge 2.66-2.77, 1 Zn 2.87
Zn  0.1356  0.6356  0.5000  6 Ge 2.66-2.77, 1 Zn 2.87
Li  0.0000  0.0000  0.0000  4 Ge 2.80
Li  0.5000  0.5000  0.0000  4 Ge 2.80
Ge  0.3356  0.8356  0.0000  6 Zn 2.66-2.77, 2 Li 2.80
Ge  0.8356  0.6644  0.0000  6 Zn 2.66-2.77, 2 Li 2.80
Ge  0.1644  0.3356  0.0000  6 Zn 2.66-2.77, 2 Li 2.80
Ge  0.6644  0.1644  0.0000  6 Zn 2.66-2.77, 2 Li 2.80

LiZnGe2: relaxed, PBE.

Output
- Symmetry: R3m (160)
- ΔE_f: 3 meV per atom
- Raw total energy: -3.1027 eV/atom
- Energy relative to the lowest polymorph listed for this composition: 75 meV/atom

abc: 4.3120 4.3120 5.2436
angles: 65.72 65.72 60.00
With the nearest neighbours (Å) after each atom.
Positions (direct):
Ge  0.2646  0.2646  0.2061  1 Ge 2.65, 3 Zn 2.74, 3 Li 2.97
Ge  0.0732  0.0732  0.7804  3 Zn 2.62, 1 Ge 2.65, 3 Li 2.70
Zn  0.6807  0.6807  0.9578  6 Ge 2.62-2.74, 1 Li 2.76
Li  0.4814  0.4814  0.5557  7 Ge 2.70-3.00, 1 Zn 2.76

Li2Zn3Ge: relaxed, PBE.

Output
- Symmetry: Fmmm (69)
- ΔE_f: -182 meV per atom
- Raw total energy: -2.2269 eV/atom

abc: 5.2283 5.2283 8.1182
angles: 101.26 101.26 113.20
With the nearest neighbours (Å) after each atom.
Positions (direct):
Ge  0.3368  0.3368  0.6736  3 Zn 2.52-2.56
Ge  0.6632  0.6632  0.3264  3 Zn 2.52-2.56
Li  0.7500  0.2500  0.5000  2 Li 2.88, 8 Zn 2.89-2.92, 4 Ge 2.93
Li  0.7493  0.7493  0.0000  2 Ge 2.86, 2 Li 2.87-2.89, 10 Zn 2.88-2.93
Li  0.2507  0.2507  0.0000  2 Ge 2.86, 2 Li 2.87-2.89, 10 Zn 2.88-2.93
Li  0.2500  0.7500  0.5000  2 Li 2.88, 8 Zn 2.89-2.92, 4 Ge 2.93
Zn  0.1683  0.1683  0.3366  2 Zn 2.52, 1 Ge 2.56
Zn  0.3296  0.8351  0.1648  2 Zn 2.50-2.52, 1 Ge 2.52
Zn  0.8317  0.8317  0.6634  2 Zn 2.52, 1 Ge 2.56
Zn  0.1649  0.6704  0.8352  2 Zn 2.50-2.52, 1 Ge 2.52
Zn  0.8351  0.3296  0.1648  2 Zn 2.50-2.52, 1 Ge 2.52
Zn  0.6704  0.1649  0.8352  2 Zn 2.50-2.52, 1 Ge 2.52

Li3Zn4Ge4: relaxed, PBE.

Output
- Symmetry: P-1 (2)
- ΔE_f: -116 meV per atom
- Raw total energy: -2.7805 eV/atom

abc: 3.2291 4.4496 13.4488
angles: 80.46 83.26 90.07
With the nearest neighbours (Å) after each atom.
Positions (direct):
Li  0.8582  0.3599  0.2809  6 Ge 2.92-2.99, 6 Zn 2.94-3.05, 2 Li 3.23
Li  0.1418  0.6401  0.7191  6 Ge 2.92-2.99, 6 Zn 2.94-3.05, 2 Li 3.23
Li  0.0000  0.0000  0.0000  4 Zn 2.87-2.89, 8 Ge 3.02-3.03
Zn  0.4059  0.9095  0.1807  3 Ge 2.48-2.49
Zn  0.2661  0.2666  0.4679  4 Ge 2.58-2.69, 4 Zn 2.87-2.88
Zn  0.7339  0.7334  0.5321  4 Ge 2.58-2.69, 4 Zn 2.87-2.88
Zn  0.5941  0.0906  0.8193  3 Ge 2.48-2.49
Ge  0.3125  0.8162  0.3688  5 Zn 2.48-2.69
Ge  0.5450  0.5480  0.9045  2 Zn 2.49, 1 Ge 2.51
Ge  0.4550  0.4520  0.0955  2 Zn 2.49, 1 Ge 2.51
Ge  0.6875  0.1838  0.6312  5 Zn 2.48-2.69